#one
## ReAs3Cl (PBE)

Data for an optimized crystal structure of ReAs3Cl.

Summary:
Space-group type = Pm-3m, No. 221
Crystal system = cubic

a b c (Å): 4.844 4.844 4.844
angles (deg): 90.00 90.00 90.00
Atoms (fractional coordinates):
Re1 0.000 0.000 0.000
As1 0.000 0.000 0.500
As2 0.000 0.500 0.000
As3 0.500 0.000 0.000
Cl1 0.500 0.500 0.500


#two
## ReAs3Cl (PBE)

Data for an optimized crystal structure of ReAs3Cl.

Summary:
Space-group type = Pm-3m, No. 221
Crystal system = cubic

a b c (Å): 4.683 4.683 4.683
angles (deg): 90.00 90.00 90.00
Atoms (fractional coordinates):
Re1 0.000 0.000 0.000
As1 0.000 0.500 0.500
As2 0.500 0.000 0.500
As3 0.500 0.500 0.000
Cl1 0.500 0.500 0.500


Energies in meV per atom, measured from the most stable structure: #one 0; #two 1343.


#one
## ReAsSCl2 (PBE)

Data for an optimized crystal structure of ReAsSCl2.

Summary:
Space-group type = P4/mmm, No. 123
Crystal system = tetragonal

a b c (Å): 4.920 4.920 4.533
angles (deg): 90.00 90.00 90.00
Atoms (fractional coordinates):
Re1 0.000 0.000 0.000
As1 0.500 0.500 0.500
S1 0.000 0.000 0.500
Cl1 0.000 0.500 0.000
Cl2 0.500 0.000 0.000


#two
## ReAsSCl2 (PBE)

Data for an optimized crystal structure of ReAsSCl2.

Summary:
Space-group type = P4/mmm, No. 123
Crystal system = tetragonal

a b c (Å): 4.996 4.996 4.970
angles (deg): 90.00 90.00 90.00
Atoms (fractional coordinates):
Re1 0.000 0.000 0.000
As1 0.500 0.500 0.500
S1 0.500 0.500 0.000
Cl1 0.000 0.500 0.500
Cl2 0.500 0.000 0.500


Energies in meV per atom, measured from the most stable structure: #one 0; #two 526.


#one
## ReAsSe2Cl (PBE)

Data for an optimized crystal structure of ReAsSe2Cl.

Summary:
Space-group type = P4/mmm, No. 123
Crystal system = tetragonal

a b c (Å): 4.959 4.959 4.736
angles (deg): 90.00 90.00 90.00
Atoms (fractional coordinates):
Re1 0.000 0.000 0.000
As1 0.500 0.500 0.000
Se1 0.000 0.500 0.500
Se2 0.500 0.000 0.500
Cl1 0.500 0.500 0.500


#two
## ReAsSe2Cl (PBE)

Data for an optimized crystal structure of ReAsSe2Cl.

Summary:
Space-group type = P4/mmm, No. 123
Crystal system = tetragonal

a b c (Å): 4.819 4.819 4.989
angles (deg): 90.00 90.00 90.00
Atoms (fractional coordinates):
Re1 0.000 0.000 0.000
As1 0.000 0.000 0.500
Se1 0.000 0.500 0.000
Se2 0.500 0.000 0.000
Cl1 0.500 0.500 0.500


Energies in meV per atom, measured from the most stable structure: #one 1402; #two 0.


#one
## As2RhCl (PBE)

Data for an optimized crystal structure of As2RhCl.

Summary:
Space-group type = I-4m2, No. 119
Crystal system = tetragonal

a b c (Å): 4.598 4.598 4.598
angles (deg): 120.11 120.11 89.81
Atoms (fractional coordinates):
As1 0.000 0.000 0.000
As2 0.750 0.250 0.500
Rh1 0.500 0.500 0.000
Cl1 0.250 0.750 0.500


#two
## As2RhCl (PBE)

Data for an optimized crystal structure of As2RhCl.

Summary:
Space-group type = Cm, No. 8
Crystal system = monoclinic

a b c (Å): 4.623 4.623 6.863
angles (deg): 106.73 106.73 42.86
Atoms (fractional coordinates):
As1 0.000 0.000 0.000
As2 0.146 0.146 0.766
Rh1 0.728 0.728 0.064
Cl1 0.340 0.340 0.345


#three
## As2RhCl (PBE)

Data for an optimized crystal structure of As2RhCl.

Summary:
Space-group type = P4mm, No. 99
Crystal system = tetragonal

a b c (Å): 3.323 3.323 7.108
angles (deg): 90.00 90.00 90.00
Atoms (fractional coordinates):
As1 0.000 0.000 0.000
As2 0.500 0.500 0.213
Rh1 0.500 0.500 0.852
Cl1 0.000 0.000 0.596


#four
## As2RhCl (PBE)

Data for an optimized crystal structure of As2RhCl.

Summary:
Space-group type = R3m, No. 160
Crystal system = trigonal

a b c (Å): 8.681 8.681 8.681
angles (deg): 21.57 21.57 21.57
Atoms (fractional coordinates):
As1 0.000 0.000 0.000
As2 0.247 0.247 0.247
Rh1 0.520 0.520 0.520
Cl1 0.783 0.783 0.783


Energies in meV per atom, measured from the most stable structure: #one 583; #two 0; #three 244; #four 232.


#one
## As2RhCl (PBE)

Data for an optimized crystal structure of As2RhCl.

Summary:
Space-group type = Pm, No. 6
Crystal system = monoclinic

a b c (Å): 3.947 3.769 6.788
angles (deg): 90.00 97.55 90.00
Atoms (fractional coordinates):
As1 0.000 0.000 0.000
As2 0.440 0.500 0.985
Rh1 0.865 0.500 0.754
Cl1 0.708 0.000 0.526


#two
## As2RhCl (PBE)

Data for an optimized crystal structure of As2RhCl.

Summary:
Space-group type = P4/mmm, No. 123
Crystal system = tetragonal

a b c (Å): 3.164 3.164 7.294
angles (deg): 90.00 90.00 90.00
Atoms (fractional coordinates):
As1 0.000 0.000 0.200
As2 0.000 0.000 0.800
Rh1 0.500 0.500 0.000
Cl1 0.500 0.500 0.500


Energies in meV per atom, measured from the most stable structure: #one 0; #two 37.


#one
## As2RhCl (PBE)

Data for an optimized crystal structure of As2RhCl.

Summary:
Space-group type = P4/mmm, No. 123
Crystal system = tetragonal

a b c (Å): 4.860 4.860 2.910
angles (deg): 90.00 90.00 90.00
Atoms (fractional coordinates):
As1 0.000 0.500 0.000
As2 0.500 0.000 0.000
Rh1 0.000 0.000 0.500
Cl1 0.500 0.500 0.500


#two
## As2RhCl (PBE)

Data for an optimized crystal structure of As2RhCl.

Summary:
Space-group type = I-42d, No. 122
Crystal system = tetragonal

a b c (Å): 7.092 7.092 7.092
angles (deg): 129.30 129.30 74.53
Atoms (fractional coordinates):
As1 0.049 0.625 0.924
As2 0.375 0.299 0.424
As3 0.701 0.125 0.076
As4 0.875 0.951 0.576
Rh1 0.000 0.000 0.000
Rh2 0.750 0.250 0.500
Cl1 0.250 0.750 0.500
Cl2 0.500 0.500 0.000


#three
## As2RhCl (PBE)

Data for an optimized crystal structure of As2RhCl.

Summary:
Space-group type = Pmmm, No. 47
Crystal system = orthorhombic

a b c (Å): 3.179 4.553 4.734
angles (deg): 90.00 90.00 90.00
Atoms (fractional coordinates):
As1 0.000 0.000 0.000
As2 0.500 0.500 0.000
Rh1 0.000 0.500 0.500
Cl1 0.500 0.000 0.500


Energies in meV per atom, measured from the most stable structure: #one 357; #two 0; #three 393.